First-principles (PBE-GGA) data for Ta3SiPt after structural relaxation, as listed in the Alexandria database.

Values from the calculation:
energy relative to the lowest polymorph listed for this composition	0	meV per atom
Fermi-level density of states	3.748	states/eV/f.u.
spin magnetization	0.0	μB/f.u.

Cell lengths 4.5769, 4.5769, 4.5769 Å; angles 90.00, 90.00, 90.00 degrees
Last column: nearest neighbours and their distance in Å.
Space group Pm-3m (No. 221)
One atom of each set of equivalent atoms:
Ta 0.0000 0.0000 0.5000 [3 per cell]  2 Si 2.29
Si 0.0000 0.0000 0.0000 [1 per cell]  6 Ta 2.29
Pt 0.5000 0.5000 0.5000 [1 per cell]  12 Ta 3.24



First-principles (PBE-GGA) data for TaSiPt after structural relaxation, as listed in the Alexandria database.

Values from the calculation:
Fermi-level density of states	1.535	states/eV/f.u.
spin magnetization	0.0	μB/f.u.

Cell lengths 6.5110, 3.8348, 11.1000 Å; angles 90.00, 90.16, 90.00 degrees
Last column: nearest neighbours and their distance in Å.
Space group P2_1/m (No. 11)
One atom of each set of equivalent atoms:
Ta 0.0275 0.2500 0.2112 [2 per cell]  5 Si 2.61-2.76, 2 Pt 2.92
Ta 0.3626 0.7500 0.5737 [2 per cell]  5 Si 2.61-2.80
Ta 0.4709 0.7500 0.8914 [2 per cell]  5 Si 2.69-2.80, 5 Pt 2.90-2.99
Si 0.2350 0.7500 0.0894 [2 per cell]  4 Pt 2.46-2.59, 5 Ta 2.69-2.72
Si 0.2373 0.2500 0.4119 [2 per cell]  5 Pt 2.45-2.55, 2 Ta 2.61
Si 0.2696 0.2500 0.7494 [2 per cell]  3 Pt 2.36-2.41
Pt 0.0200 0.2500 0.5918 [2 per cell]  4 Si 2.38-2.55
Pt 0.1557 0.2500 0.9558 [2 per cell]  4 Si 2.41-2.59
Pt 0.3755 0.7500 0.2950 [2 per cell]  4 Si 2.36-2.49



First-principles (PBE-GGA) data for Ta2SiPt after structural relaxation, as listed in the Alexandria database.

Values from the calculation:
Fermi-level density of states	2.700	states/eV/f.u.
spin magnetization	0.0	μB/f.u.

Cell lengths 2.8844, 2.8844, 27.1596 Å; angles 90.00, 90.00, 120.00 degrees
Last column: nearest neighbours and their distance in Å.
Space group R-3m (No. 166, hexagonal axes)
One atom of each set of equivalent atoms:
Ta 0.0000 0.0000 0.2479 [6 per cell]  3 Si 2.76, 3 Pt 2.86, 6 Ta 2.88
Si 0.0000 0.0000 0.5000 [3 per cell]  6 Ta 2.76, 6 Si 2.88
Pt 0.0000 0.0000 0.0000 [3 per cell]  6 Ta 2.86, 6 Pt 2.88



First-principles (PBE-GGA) data for Ta2SiPt after structural relaxation, as listed in the Alexandria database.

Values from the calculation:
Fermi-level density of states	2.695	states/eV/f.u.
spin magnetization	0.0	μB/f.u.

Cell lengths 5.4929, 8.2011, 2.8645 Å; angles 90.00, 92.61, 90.00 degrees
Last column: nearest neighbours and their distance in Å.
Space group C2/m (No. 12)
One atom of each set of equivalent atoms:
Ta 0.2500 0.2500 0.0000 [4 per cell]  4 Ta 2.75-2.86, 4 Pt 2.82-2.88, 4 Si 2.82-2.88
Si 0.0000 0.0000 0.5000 [2 per cell]  2 Pt 2.75, 8 Ta 2.82-2.88, 2 Si 2.86
Pt 0.0000 0.5000 0.5000 [2 per cell]  2 Si 2.75, 8 Ta 2.82-2.88, 2 Pt 2.86



First-principles (PBE-GGA) data for Ta2SiPt2 after structural relaxation, as listed in the Alexandria database.

Values from the calculation:
Fermi-level density of states	1.916	states/eV/f.u.
spin magnetization	0.0	μB/f.u.

Cell lengths 6.3807, 6.3807, 4.1443 Å; angles 90.00, 90.00, 90.00 degrees
Last column: nearest neighbours and their distance in Å.
Space group P4/mbm (No. 127)
One atom of each set of equivalent atoms:
Ta 0.1707 0.3293 0.0000 [4 per cell]  6 Pt 2.64-2.90
Si 0.0000 0.0000 0.5000 [2 per cell]  4 Pt 2.44
Pt 0.1472 0.6472 0.5000 [4 per cell]  2 Si 2.44, 2 Ta 2.64, 1 Pt 2.66



First-principles (PBE-GGA) data for Ta2SiPt after structural relaxation, as listed in the Alexandria database.

Values from the calculation:
Fermi-level density of states	2.858	states/eV/f.u.
spin magnetization	0.0	μB/f.u.

Cell lengths 3.8134, 4.0462, 4.1850 Å; angles 90.00, 90.00, 90.00 degrees
Last column: nearest neighbours and their distance in Å.
Space group Pmmm (No. 47)
One atom of each set of equivalent atoms:
Ta 0.0000 0.0000 0.0000 [1 per cell]  4 Ta 2.78, 4 Pt 2.83, 4 Si 2.91
Ta 0.5000 0.5000 0.0000 [1 per cell]  4 Ta 2.78, 4 Si 2.83, 4 Pt 2.91
Si 0.0000 0.5000 0.5000 [1 per cell]  4 Pt 2.78, 8 Ta 2.83-2.91
Pt 0.5000 0.0000 0.5000 [1 per cell]  4 Si 2.78, 8 Ta 2.83-2.91



First-principles (PBE-GGA) data for TaSiPt2 after structural relaxation, as listed in the Alexandria database.

Values from the calculation:
Fermi-level density of states	2.173	states/eV/f.u.
spin magnetization	0.0	μB/f.u.

Cell lengths 2.8839, 2.8839, 26.0978 Å; angles 90.00, 90.00, 120.00 degrees
Last column: nearest neighbours and their distance in Å.
Space group R3m (No. 160, hexagonal axes)
One atom of each set of equivalent atoms:
Ta 0.0000 0.0000 0.0000 [3 per cell]  3 Si 2.73, 3 Pt 2.77, 6 Ta 2.88
Si 0.0000 0.0000 0.7495 [3 per cell]  3 Pt 2.52, 3 Ta 2.73
Pt 0.0000 0.0000 0.2486 [3 per cell]  3 Ta 2.77, 9 Pt 2.88-2.95
Pt 0.0000 0.0000 0.4885 [3 per cell]  3 Si 2.52



First-principles (PBE-GGA) data for TaSiPt2 after structural relaxation, as listed in the Alexandria database.

Values from the calculation:
Fermi-level density of states	1.719	states/eV/f.u.
spin magnetization	0.0	μB/f.u.

Cell lengths 3.8769, 3.8769, 17.9835 Å; angles 90.00, 90.00, 90.00 degrees
Last column: nearest neighbours and their distance in Å.
Space group I-42d (No. 122)
One atom of each set of equivalent atoms:
Ta 0.0000 0.0000 0.0000 [4 per cell]  4 Pt 2.65, 4 Si 2.74
Si 0.0000 0.0000 0.5000 [4 per cell]  4 Pt 2.62, 4 Ta 2.74
Pt 0.2403 0.2500 0.6250 [8 per cell]  2 Si 2.62, 2 Ta 2.65, 4 Pt 2.69-2.79



First-principles (PBE-GGA) data for TaSiPt after structural relaxation, as listed in the Alexandria database.

Values from the calculation:
Fermi-level density of states	3.418	states/eV/f.u.
spin magnetization	0.0	μB/f.u.

Cell lengths 2.8882, 2.8882, 6.5112 Å; angles 90.00, 90.00, 120.00 degrees
Last column: nearest neighbours and their distance in Å.
Space group P3m1 (No. 156)
One atom of each set of equivalent atoms:
Ta 0.0000 0.0000 0.0000 [1 per cell]  3 Si 2.75, 3 Pt 2.86, 6 Ta 2.89
Si 0.3333 0.6667 0.6645 [1 per cell]  3 Pt 2.60, 3 Ta 2.75, 6 Si 2.89
Pt 0.6667 0.3333 0.3573 [1 per cell]  3 Si 2.60, 3 Ta 2.86, 6 Pt 2.89



First-principles (PBE-GGA) data for Ta2SiPt after structural relaxation, as listed in the Alexandria database.

Values from the calculation:
Fermi-level density of states	1.629	states/eV/f.u.
spin magnetization	0.0	μB/f.u.

Cell lengths 3.6352, 4.4481, 8.0129 Å; angles 90.00, 90.00, 90.00 degrees
Last column: nearest neighbours and their distance in Å.
Space group Cmm2 (No. 35)
One atom of each set of equivalent atoms:
Ta 0.0000 0.0000 0.0000 [2 per cell]  4 Pt 2.84-3.12, 6 Ta 2.87-2.92
Ta 0.0000 0.5000 0.2849 [2 per cell]  4 Si 2.60-2.90, 4 Ta 2.87
Si 0.0000 0.0000 0.5169 [2 per cell]  2 Pt 2.48, 2 Ta 2.60
Pt 0.0000 0.5000 0.7276 [2 per cell]  2 Si 2.48



First-principles (PBE-GGA) data for TaSiPt2 after structural relaxation, as listed in the Alexandria database.

Values from the calculation:
Fermi-level density of states	2.856	states/eV/f.u.
spin magnetization	0.0	μB/f.u.

Cell lengths 5.4225, 8.1253, 2.8632 Å; angles 90.00, 90.22, 90.00 degrees
Last column: nearest neighbours and their distance in Å.
Space group C2/m (No. 12)
One atom of each set of equivalent atoms:
Ta 0.0000 0.0000 0.0000 [2 per cell]  2 Si 2.71, 8 Pt 2.83, 2 Ta 2.86
Si 0.0000 0.5000 0.0000 [2 per cell]  2 Ta 2.71, 8 Pt 2.83, 2 Si 2.86
Pt 0.2500 0.2500 0.5000 [4 per cell]  4 Pt 2.71-2.86, 4 Ta 2.83, 4 Si 2.83



First-principles (PBE-GGA) data for TaSiPt after structural relaxation, as listed in the Alexandria database.

Values from the calculation:
Fermi-level density of states	1.923	states/eV/f.u.
spin magnetization	0.0	μB/f.u.

Cell lengths 4.2693, 4.2693, 2.9366 Å; angles 90.00, 90.00, 120.00 degrees
Last column: nearest neighbours and their distance in Å.
Space group P-6m2 (No. 187)
One atom of each set of equivalent atoms:
Ta 0.0000 0.0000 0.0000 [1 per cell]  6 Si 2.87, 6 Pt 2.87, 2 Ta 2.94
Si 0.6667 0.3333 0.5000 [1 per cell]  3 Pt 2.46
Pt 0.3333 0.6667 0.5000 [1 per cell]  3 Si 2.46



First-principles (PBE-GGA) data for Ta2SiPt after structural relaxation, as listed in the Alexandria database.

Values from the calculation:
Fermi-level density of states	2.845	states/eV/f.u.
spin magnetization	0.0	μB/f.u.

Cell lengths 10.1083, 2.8364, 4.7839 Å; angles 90.00, 109.80, 90.00 degrees
Last column: nearest neighbours and their distance in Å.
Space group Cm (No. 8)
One atom of each set of equivalent atoms:
Ta 0.0000 0.0000 0.0000 [2 per cell]  4 Si 2.73-2.87, 3 Pt 2.78-2.86, 3 Ta 2.84-3.01
Ta 0.2058 0.0000 0.6244 [2 per cell]  3 Si 2.70-2.90, 4 Pt 2.83, 3 Ta 2.84-3.01
Si 0.4647 0.0000 0.4915 [2 per cell]  2 Pt 2.56, 4 Ta 2.70-2.73, 2 Si 2.84
Pt 0.2603 0.5000 0.1628 [2 per cell]  2 Si 2.56, 7 Ta 2.78-2.86, 2 Pt 2.84



For reference, V by record: 95.88 46.19 65.23 64.45 84.36 64.57 62.66 67.57 47.04 64.78 63.08 46.35 64.53 Å³/f.u..
For reference, raw formation energy by record: 0.65 -0.69 -0.23 -0.40 -0.32 -0.41 -0.35 -0.25 -0.27 -0.34 -0.37 -0.59 -0.43 eV/atom.